Density functional theory data (GGA+U) for an optimized crystal structure of Ca3Be2CrO6.

POSCAR file:
```
Ca3Be2CrO6
1.0
5.344 0.000 0.000
-2.672 4.628 0.000
0.000 0.000 6.178
Ca Be Cr O
3 2 1 6
Direct
0.000 0.000 0.000
0.333 0.667 0.670
0.667 0.333 0.330
0.333 0.667 0.247
0.667 0.333 0.753
0.000 0.000 0.500
0.170 0.340 0.294
0.170 0.830 0.294
0.340 0.170 0.706
0.660 0.830 0.294
0.830 0.170 0.706
0.830 0.660 0.706
```

uncorrected energy	-6.634	eV per atom
M_tot	3.85	μB/f.u.
symmetry	P-3m1